A relaxed ZnCuOs crystal, computed with PBE.

a b c (Å): 6.067 6.067 6.067
angles (deg): 154.72 154.72 36.06
Positions (direct):
Zn1 0.000 0.000 0.000
Cu1 0.663 0.663 0.000
Os1 0.328 0.328 0.000

Density of states at the Fermi level   0.86 states/eV per atom
Energy relative to the elements   82 kJ/mol of formula units
Size of the total moment   0.00 μB/f.u.
E above lowest polymorph   0.269 eV/atom